## HfNbPdC2 (PBE)

Data for an optimized crystal structure of HfNbPdC2.

## Properties
Density of states at the Fermi level, states/eV per atom: 1.153
Crystal system: tetragonal

```
data_HfNbPdC2
_space_group_name_H-M_alt 'P 4/m m m'
_space_group_IT_number 123
_space_group_name_Hall '-P 4 2'
_cell_length_a 4.1779
_cell_length_b 4.1779
_cell_length_c 4.8951
_cell_angle_alpha 90.00
_cell_angle_beta 90.00
_cell_angle_gamma 90.00
loop_
_atom_site_label
_atom_site_fract_x
_atom_site_fract_y
_atom_site_fract_z
_atom_site_occupancy
Hf1 0.0000 0.0000 0.0000 1
Nb1 0.5000 0.5000 0.5000 1
Pd1 0.0000 0.0000 0.5000 1
C1 0.0000 0.5000 0.0000 1
```

***

## Li2AcAl2 (PBE)

Data for an optimized crystal structure of Li2AcAl2.

## Properties
Distance to the lowest polymorph of the same formula, meV/atom: 0.0
Density of states at the Fermi level, states/eV per atom: 0.813
Crystal system: orthorhombic

```
data_Li2AcAl2
_space_group_name_H-M_alt 'I m m a'
_space_group_IT_number 74
_space_group_name_Hall '-I 2b 2'
_cell_length_a 4.6075
_cell_length_b 4.7119
_cell_length_c 21.9732
_cell_angle_alpha 90.00
_cell_angle_beta 90.00
_cell_angle_gamma 90.00
loop_
_atom_site_label
_atom_site_fract_x
_atom_site_fract_y
_atom_site_fract_z
_atom_site_occupancy
Li1 0.0000 0.2500 0.0325 1
Li2 0.0000 0.2500 0.5375 1
Ac1 0.0000 0.2500 0.3363 1
Al1 0.0000 0.2500 0.7806 1
Al2 0.0000 0.2500 0.8988 1
```

***

no.,energy of formation from the pure elements (eV per formula unit)
1,8.2
2,-1.0